# 1
La3Y: optimized geometry, PBE.

Summary:
crystal system: orthorhombic

Structure (CIF):
```
data_La3Y
_chemical_formula_sum 'La6 Y2'
_cell_length_a 7.330
_cell_length_b 10.424
_cell_length_c 3.712
_cell_angle_alpha 90.00
_cell_angle_beta 90.00
_cell_angle_gamma 90.00
_space_group_name_H-M_alt 'C m m m'
_space_group_IT_number 65
_space_group_name_Hall '-C 2 2'
loop_
_atom_site_label
_atom_site_type_symbol
_atom_site_fract_x
_atom_site_fract_y
_atom_site_fract_z
La1 La 0.000 0.000 0.000
La2 La 0.250 0.250 0.500
Y1 Y 0.000 0.500 0.000
```



# 2
SmGdErZr: optimized geometry, PBE.

Summary:
crystal system: cubic

Structure (CIF):
```
data_SmGdErZr
_chemical_formula_sum 'Sm4 Gd4 Er4 Zr4'
_cell_length_a 7.806
_cell_length_b 7.806
_cell_length_c 7.806
_cell_angle_alpha 90.00
_cell_angle_beta 90.00
_cell_angle_gamma 90.00
_space_group_name_H-M_alt 'F -4 3 m'
_space_group_IT_number 216
_space_group_name_Hall 'F -4 2 3'
loop_
_atom_site_label
_atom_site_type_symbol
_atom_site_fract_x
_atom_site_fract_y
_atom_site_fract_z
Sm1 Sm 0.000 0.000 0.000
Gd1 Gd 0.250 0.250 0.750
Er1 Er 0.250 0.250 0.250
Zr1 Zr 0.000 0.000 0.500
```



# 3
ScMo3: optimized geometry, PBE.

Summary:
crystal system: orthorhombic

Structure (CIF):
```
data_ScMo3
_chemical_formula_sum 'Sc4 Mo12'
_cell_length_a 5.527
_cell_length_b 9.133
_cell_length_c 5.376
_cell_angle_alpha 90.00
_cell_angle_beta 90.00
_cell_angle_gamma 90.00
_space_group_name_H-M_alt 'P n m a'
_space_group_IT_number 62
loop_
_space_group_symop_operation_xyz
'x,y,z'
'-x,-y,-z'
'-x+1/2,-y,z+1/2'
'x+1/2,y,-z+1/2'
'x+1/2,-y+1/2,-z+1/2'
'-x+1/2,y+1/2,z+1/2'
'-x,y+1/2,-z'
'x,-y+1/2,z'
loop_
_atom_site_label
_atom_site_type_symbol
_atom_site_fract_x
_atom_site_fract_y
_atom_site_fract_z
Sc1 Sc 0.003 0.250 0.250
Mo1 Mo 0.003 0.750 0.250
Mo2 Mo 0.250 0.012 0.581
```



# 4
Co2AsRh: optimized geometry, PBE.

Summary:
crystal system: orthorhombic

Structure (CIF):
```
data_Co2AsRh
_chemical_formula_sum 'Co4 As2 Rh2'
_cell_length_a 3.783
_cell_length_b 2.794
_cell_length_c 9.787
_cell_angle_alpha 90.00
_cell_angle_beta 90.00
_cell_angle_gamma 90.00
_space_group_name_H-M_alt 'A m m 2'
_space_group_IT_number 38
loop_
_space_group_symop_operation_xyz
'x,y,z'
'-x,-y,z'
'-x,y,z'
'x,-y,z'
'x,y+1/2,z+1/2'
'-x,-y+1/2,z+1/2'
'-x,y+1/2,z+1/2'
'x,-y+1/2,z+1/2'
loop_
_atom_site_label
_atom_site_type_symbol
_atom_site_fract_x
_atom_site_fract_y
_atom_site_fract_z
Co1 Co 0.000 0.000 0.000
Co2 Co 0.500 0.000 0.396
As1 As 0.000 0.000 0.256
Rh1 Rh 0.500 0.000 0.652
```



Across the entries above, DFT formation energy takes the values 0.01 0.21 0.24 -0.01 eV per atom, respectively.